(1)
First-principles (GGA-PBE) data for CsNa2Gd2BP2O11 after structural relaxation, as listed in OQMD.

Results
E_tot, eV per cell: -272.97

a b c (Å): 8.2378 8.2378 10.6460
angles (deg): 90.00 90.00 129.70
Closest atoms and distances in Å follow each position.
Positions (direct):
B 0.4829 0.5171 0.2500  3 O 1.37-1.40
B 0.5171 0.4829 0.7500  3 O 1.37-1.40
Cs 0.0171 0.9829 0.2500  6 O 3.24-3.41, 2 B 3.54
Cs 0.9829 0.0171 0.7500  6 O 3.24-3.41, 2 B 3.54
Gd 0.3798 0.6202 0.0290  7 O 2.25-2.50
Gd 0.3798 0.6202 0.4710  7 O 2.25-2.50
Gd 0.6202 0.3798 0.5290  7 O 2.25-2.50
Gd 0.6202 0.3798 0.9710  7 O 2.25-2.50
Na 0.0140 0.5008 0.2500  4 O 2.32
Na 0.4992 0.9860 0.2500  4 O 2.32
Na 0.5008 0.0140 0.7500  4 O 2.32
Na 0.9860 0.4992 0.7500  4 O 2.32
O 0.0557 0.3012 0.0493  1 P 1.54
O 0.6988 0.9443 0.0493  1 P 1.54
O 0.2222 0.7778 0.1090  1 P 1.55
O 0.7366 0.2634 0.1155  1 P 1.56
O 0.5247 0.4753 0.1350  1 B 1.37
O 0.3892 0.6108 0.2500  1 B 1.40
O 0.5247 0.4753 0.3650  1 B 1.37
O 0.7366 0.2634 0.3845  1 P 1.56
O 0.2222 0.7778 0.3910  1 P 1.55
O 0.0557 0.3012 0.4507  1 P 1.54
O 0.6988 0.9443 0.4507  1 P 1.54
O 0.3012 0.0557 0.5493  1 P 1.54
O 0.9443 0.6988 0.5493  1 P 1.54
O 0.7778 0.2222 0.6090  1 P 1.55
O 0.2634 0.7366 0.6155  1 P 1.56
O 0.4753 0.5247 0.6350  1 B 1.37
O 0.6108 0.3892 0.7500  1 B 1.40
O 0.4753 0.5247 0.8650  1 B 1.37
O 0.2634 0.7366 0.8845  1 P 1.56
O 0.7778 0.2222 0.8910  1 P 1.55
O 0.3012 0.0557 0.9507  1 P 1.54
O 0.9443 0.6988 0.9507  1 P 1.54
P 0.8191 0.1809 0.0250  4 O 1.54-1.56
P 0.8191 0.1809 0.4750  4 O 1.54-1.56
P 0.1809 0.8191 0.5250  4 O 1.54-1.56
P 0.1809 0.8191 0.9750  4 O 1.54-1.56

(2)
First-principles (GGA-PBE) data for CsHgB4 after structural relaxation, as listed in OQMD.

Results
E_tot, eV per cell: -22.90

a b c (Å): 3.1943 3.1943 9.6674
angles (deg): 90.00 90.00 120.00
Closest atoms and distances in Å follow each position.
Positions (direct):
B 0.6667 0.3333 0.2123  3 B 1.84
B 0.3333 0.6667 0.2123  3 B 1.84
B 0.6667 0.3333 0.7877  3 B 1.84
B 0.3333 0.6667 0.7877  3 B 1.84
Cs 0.0000 0.0000 0.5000  6 Cs 3.19, 12 B 3.34
Hg 0.0000 0.0000 0.0000  12 B 2.76

(3)
First-principles (GGA-PBE) data for CsHgB4 after structural relaxation, as listed in OQMD.

Results
E_tot, eV per cell: -22.76

a b c (Å): 6.5119 6.5119 6.5119
angles (deg): 152.23 130.22 57.96
Closest atoms and distances in Å follow each position.
Positions (direct):
B 0.0880 0.7502 0.3378  3 B 1.78-1.84
B 0.5876 0.2498 0.3378  3 B 1.78-1.84
B 0.9120 0.2498 0.6622  3 B 1.78-1.84
B 0.4124 0.7502 0.6622  3 B 1.78-1.84
Cs 0.0000 0.0000 0.0000  2 Cs 3.13, 4 Hg 3.15, 12 B 3.37-3.39
Hg 0.5000 0.5000 0.0000  2 Hg 3.13, 4 Cs 3.15, 12 B 3.37-3.40

(4)
First-principles (GGA-PBE) data for Cs2HgB9Se9 after structural relaxation, as listed in OQMD.

Results
E_tot, eV per cell: -206.09

a b c (Å): 10.1128 10.9672 11.2497
angles (deg): 100.64 90.40 116.00
Closest atoms and distances in Å follow each position.
Positions (direct):
B 0.7455 0.9089 0.2201  3 Se 1.94-1.98
B 0.5655 0.2770 0.2603  3 Se 1.94-1.98
B 0.2567 0.5902 0.2888  3 Se 1.94-1.98
B 0.5138 0.9556 0.3509  5 B 1.77-1.79
B 0.4230 0.0597 0.4041  5 B 1.78-1.79
B 0.3410 0.8804 0.4137  5 B 1.78-1.79
B 0.6178 0.1274 0.4342  5 B 1.77-1.78
B 0.4867 0.8400 0.4497  5 B 1.77-1.79
B 0.6593 0.9922 0.4617  5 B 1.78-1.79
B 0.3407 0.0078 0.5383  5 B 1.78-1.79
B 0.5133 0.1600 0.5503  5 B 1.77-1.79
B 0.3822 0.8726 0.5658  5 B 1.77-1.78
B 0.6590 0.1196 0.5863  5 B 1.78-1.79
B 0.5770 0.9403 0.5959  5 B 1.78-1.79
B 0.4862 0.0444 0.6491  5 B 1.77-1.79
B 0.7433 0.4098 0.7112  3 Se 1.94-1.98
B 0.4345 0.7230 0.7397  3 Se 1.94-1.98
B 0.2545 0.0911 0.7799  3 Se 1.94-1.98
Cs 0.7947 0.1729 0.0036  9 Se 3.63-4.05, 2 B 3.99-4.03
Cs 0.8215 0.6530 0.4856  9 Se 3.81-4.17, 2 B 3.85-4.10
Cs 0.1785 0.3470 0.5144  9 Se 3.81-4.17, 2 B 3.85-4.10
Cs 0.2053 0.8271 0.9964  9 Se 3.63-4.05, 2 B 3.99-4.03
Hg 0.3267 0.3210 0.0789  3 Se 2.60-2.68
Hg 0.6733 0.6790 0.9211  3 Se 2.60-2.68
Se 0.8639 0.8676 0.0993  1 B 1.94
Se 0.6035 0.4038 0.1504  1 B 1.94
Se 0.5518 0.8991 0.1788  2 B 1.96-2.01
Se 0.1395 0.4065 0.1901  1 B 1.94
Se 0.3624 0.1492 0.2868  2 B 1.98-2.02
Se 0.1681 0.7211 0.3070  2 B 1.98-2.02
Se 0.7375 0.2776 0.3446  2 B 1.97-2.02
Se 0.4492 0.6444 0.3763  2 B 1.96-2.01
Se 0.8340 0.9735 0.3910  2 B 1.98-2.02
Se 0.1660 0.0265 0.6090  2 B 1.98-2.02
Se 0.5508 0.3556 0.6237  2 B 1.96-2.01
Se 0.2625 0.7224 0.6554  2 B 1.97-2.02
Se 0.8319 0.2789 0.6930  2 B 1.98-2.02
Se 0.6376 0.8508 0.7132  2 B 1.98-2.02
Se 0.8605 0.5935 0.8099  1 B 1.94
Se 0.4482 0.1009 0.8212  2 B 1.96-2.01
Se 0.3965 0.5962 0.8496  1 B 1.94
Se 0.1361 0.1324 0.9007  1 B 1.94

(5)
First-principles (GGA-PBE) data for CsHoB after structural relaxation, as listed in OQMD.

Results
E_tot, eV per cell: -6.19

a b c (Å): 4.8507 4.8507 4.8507
angles (deg): 60.00 60.00 60.00
Closest atoms and distances in Å follow each position.
Positions (direct):
B 0.7500 0.7500 0.7500  4 Cs 2.97
Cs 0.0000 0.0000 0.0000  4 Ho 2.97, 4 B 2.97
Ho 0.2500 0.2500 0.2500  4 Cs 2.97

(6)
First-principles (GGA-PBE) data for CsNa2Ho2BP2O11 after structural relaxation, as listed in OQMD.

Results
E_tot, eV per cell: -273.19

a b c (Å): 8.1314 8.1314 10.5855
angles (deg): 90.00 90.00 129.58
Closest atoms and distances in Å follow each position.
Positions (direct):
B 0.9842 0.0158 0.2500  3 O 1.38-1.40
B 0.0158 0.9842 0.7500  3 O 1.38-1.40
Cs 0.5180 0.4820 0.2500  6 O 3.22-3.36, 2 B 3.50
Cs 0.4820 0.5180 0.7500  6 O 3.22-3.36, 2 B 3.50
Ho 0.8806 0.1194 0.0309  7 O 2.22-2.46
Ho 0.8806 0.1194 0.4691  7 O 2.22-2.46
Ho 0.1194 0.8806 0.5309  7 O 2.22-2.46
Ho 0.1194 0.8806 0.9691  7 O 2.22-2.46
Na 0.5121 0.0002 0.2500  4 O 2.30-2.31
Na 0.9998 0.4879 0.2500  4 O 2.30-2.31
Na 0.0002 0.5121 0.7500  4 O 2.30-2.31
Na 0.4879 0.9998 0.7500  4 O 2.30-2.31
O 0.1968 0.4428 0.0497  1 P 1.54
O 0.5572 0.8032 0.0497  1 P 1.54
O 0.7231 0.2769 0.1099  1 P 1.55
O 0.2340 0.7660 0.1142  1 P 1.56
O 0.0259 0.9741 0.1335  1 B 1.38
O 0.8892 0.1108 0.2500  1 B 1.40
O 0.0259 0.9741 0.3665  1 B 1.38
O 0.2340 0.7660 0.3858  1 P 1.56
O 0.7231 0.2769 0.3901  1 P 1.55
O 0.1968 0.4428 0.4503  1 P 1.54
O 0.5572 0.8032 0.4503  1 P 1.54
O 0.4428 0.1968 0.5497  1 P 1.54
O 0.8032 0.5572 0.5497  1 P 1.54
O 0.2769 0.7231 0.6099  1 P 1.55
O 0.7660 0.2340 0.6142  1 P 1.56
O 0.9741 0.0259 0.6335  1 B 1.38
O 0.1108 0.8892 0.7500  1 B 1.40
O 0.9741 0.0259 0.8665  1 B 1.38
O 0.7660 0.2340 0.8858  1 P 1.56
O 0.2769 0.7231 0.8901  1 P 1.55
O 0.4428 0.1968 0.9503  1 P 1.54
O 0.8032 0.5572 0.9503  1 P 1.54
P 0.3184 0.6816 0.0246  4 O 1.54-1.56
P 0.3184 0.6816 0.4754  4 O 1.54-1.56
P 0.6816 0.3184 0.5246  4 O 1.54-1.56
P 0.6816 0.3184 0.9754  4 O 1.54-1.56

- What is the formula in the sixth record?
  CsNa2Ho2BP2O11